Material: CoAgSnHg
Method: DFT, PBE
State: relaxed

Values from the calculation:
Distance to the lowest polymorph of the same formula (meV/atom): 0.0
Final energy (eV/atom): -3.25

CIF file:
```
data_CoAgSnHg
_cell_length_a 6.634
_cell_length_b 6.634
_cell_length_c 6.634
_cell_angle_alpha 90.00
_cell_angle_beta 90.00
_cell_angle_gamma 90.00
_space_group_name_H-M_alt 'F -4 3 m'
_space_group_IT_number 216
_space_group_name_Hall 'F -4 2 3'
loop_
_atom_site_label
_atom_site_type_symbol
_atom_site_fract_x
_atom_site_fract_y
_atom_site_fract_z
Co1 Co 0.000 0.000 0.000
Ag1 Ag 0.000 0.000 0.500
Sn1 Sn 0.250 0.250 0.750
Hg1 Hg 0.250 0.250 0.250
```

***

Material: HfTlCoPt
Method: DFT, PBE
State: relaxed

Values from the calculation:
Distance to the lowest polymorph of the same formula (meV/atom): 0.0
Final energy (eV/atom): -6.62

CIF file:
```
data_HfTlCoPt
_cell_length_a 6.498
_cell_length_b 6.498
_cell_length_c 6.498
_cell_angle_alpha 90.00
_cell_angle_beta 90.00
_cell_angle_gamma 90.00
_space_group_name_H-M_alt 'F -4 3 m'
_space_group_IT_number 216
_space_group_name_Hall 'F -4 2 3'
loop_
_atom_site_label
_atom_site_type_symbol
_atom_site_fract_x
_atom_site_fract_y
_atom_site_fract_z
Hf1 Hf 0.000 0.000 0.000
Tl1 Tl 0.000 0.000 0.500
Co1 Co 0.250 0.250 0.750
Pt1 Pt 0.250 0.250 0.250
```

***

Material: Ni2MoP2
Method: DFT, PBE
State: relaxed

Values from the calculation:
Final energy (eV/atom): -6.75

CIF file:
```
data_Ni2MoP2
_cell_length_a 3.912
_cell_length_b 3.912
_cell_length_c 8.607
_cell_angle_alpha 90.00
_cell_angle_beta 90.00
_cell_angle_gamma 90.00
_space_group_name_H-M_alt 'P 4/n m m'
_space_group_IT_number 129
loop_
_space_group_symop_operation_xyz
'x,y,z'
'-x,-y,-z'
'-y+1/2,x,z'
'y+1/2,-x,-z'
'-x+1/2,-y+1/2,z'
'x+1/2,y+1/2,-z'
'y,-x+1/2,z'
'-y,x+1/2,-z'
'x+1/2,-y,-z'
'-x+1/2,y,z'
'-y,-x,-z'
'y,x,z'
'-x,y+1/2,-z'
'x,-y+1/2,z'
'y+1/2,x+1/2,-z'
'-y+1/2,-x+1/2,z'
loop_
_atom_site_label
_atom_site_type_symbol
_atom_site_fract_x
_atom_site_fract_y
_atom_site_fract_z
Ni1 Ni 0.250 0.250 0.134
Ni2 Ni 0.250 0.750 0.500
Mo1 Mo 0.250 0.250 0.816
P1 P 0.250 0.250 0.373
P2 P 0.250 0.750 0.000
```